# 1
A relaxed TbTiCo crystal, computed with PBE-GGA.

Lattice parameters (Å, degrees): 4.278 4.278 6.247 90.00 90.00 90.00
Element x y z (fractional)
Tb 0.250 0.250 0.134
Tb 0.750 0.750 0.866
Ti 0.250 0.750 0.500
Ti 0.750 0.250 0.500
Co 0.250 0.250 0.691
Co 0.750 0.750 0.309

Summary:
The formation energy is -0.24 eV/atom. As for the energy above the most stable polymorph in this dataset: 0.0000 eV per atom. The value obtained for the density is 7.72 g/cm³. The raw total energy is -40.73 eV for the cell shown.

***

# 2
A relaxed Ta2TcSe crystal, computed with PBE-GGA.

Lattice parameters (Å, degrees): 8.604 8.604 8.604 21.18 21.18 21.18
Element x y z (fractional)
Ta 0.000 0.000 0.000
Ta 0.242 0.242 0.242
Tc 0.740 0.740 0.740
Se 0.502 0.502 0.502

Summary:
The value obtained for the density is 12.29 g/cm³. The calculation puts the formation energy (no corrections) at 19 meV per atom. The raw total energy is -37.48 eV for the cell shown.

***

# 3
A relaxed Rb5As2Br2 crystal, computed with PBE-GGA.

Lattice parameters (Å, degrees): 10.101 10.101 8.916 90.00 90.00 52.26
Element x y z (fractional)
Rb 0.000 0.000 0.000
Rb 0.038 0.688 0.673
Rb 0.188 0.538 0.173
Rb 0.312 0.962 0.673
Rb 0.462 0.812 0.173
Rb 0.500 0.500 0.500
Rb 0.538 0.188 0.827
Rb 0.688 0.038 0.327
Rb 0.812 0.462 0.827
Rb 0.962 0.312 0.327
As 0.097 0.903 0.402
As 0.403 0.597 0.902
As 0.597 0.403 0.098
As 0.903 0.097 0.598
Br 0.205 0.205 0.000
Br 0.295 0.295 0.500
Br 0.705 0.705 0.500
Br 0.795 0.795 0.000

Summary:
The value obtained for the density is 3.40 g/cm³. The calculation puts the formation energy (no corrections) at -965 meV per atom. The raw total energy is -52.34 eV for the cell shown.

***

# 4
A relaxed CaIr2N2 crystal, computed with PBE-GGA.

Lattice parameters (Å, degrees): 7.311 7.311 3.537 90.00 90.00 90.00
Element x y z (fractional)
Ca 0.000 0.000 0.000
Ca 0.500 0.500 0.000
Ir 0.116 0.384 0.000
Ir 0.384 0.884 0.000
Ir 0.616 0.116 0.000
Ir 0.884 0.616 0.000
N 0.175 0.325 0.500
N 0.325 0.825 0.500
N 0.675 0.175 0.500
N 0.825 0.675 0.500

Summary:
As for the energy above the most stable polymorph in this dataset: 0.0709 eV per atom. The value obtained for the density is 7.95 g/cm³. The calculation puts the formation energy (no corrections) at 360 meV per atom. The raw total energy is -69.15 eV for the cell shown.

***

# 5
A relaxed HfTcSn2Au crystal, computed with PBE-GGA.

Lattice parameters (Å, degrees): 5.016 5.016 5.118 90.00 90.00 90.00
Element x y z (fractional)
Hf 0.000 0.000 0.000
Tc 0.500 0.500 0.500
Sn 0.000 0.500 0.500
Sn 0.500 0.000 0.500
Au 0.500 0.500 0.000

Summary:
The formation energy is 0.81 eV/atom. The value obtained for the density is 9.17 g/cm³. The raw total energy is -27.56 eV for the cell shown.

***

# 6
A relaxed SnTeN2O crystal, computed with PBE-GGA.

Lattice parameters (Å, degrees): 3.892 3.892 6.749 90.00 90.00 90.00
Element x y z (fractional)
Sn 0.000 0.000 0.000
Te 0.000 0.000 0.500
N 0.000 0.500 0.000
N 0.500 0.000 0.000
O 0.500 0.500 0.500

Summary:
The value obtained for the density is 4.72 g/cm³. The calculation puts the formation energy (no corrections) at 1577 meV per atom. The raw total energy is -20.87 eV for the cell shown.

***

# 7
A relaxed Al2Cl3 crystal, computed with PBE-GGA.

Lattice parameters (Å, degrees): 12.717 5.631 13.409 70.75 24.71 84.55
Element x y z (fractional)
Al 0.152 0.848 0.348
Al 0.598 0.902 0.402
Al 0.848 0.152 0.652
Al 0.902 0.598 0.098
Cl 0.068 0.207 0.293
Cl 0.207 0.068 0.432
Cl 0.407 0.407 0.593
Cl 0.657 0.657 0.843
Cl 0.818 0.957 0.043
Cl 0.957 0.818 0.182

Summary:
The value obtained for the density is 1.64 g/cm³. The calculation puts the formation energy (no corrections) at -696 meV per atom. The raw total energy is -33.01 eV for the cell shown.

***

# 8
A relaxed Pm4GaHg2 crystal, computed with PBE-GGA.

Lattice parameters (Å, degrees): 9.050 9.050 9.050 33.99 33.99 33.99
Element x y z (fractional)
Pm 0.123 0.123 0.123
Pm 0.375 0.375 0.375
Pm 0.625 0.625 0.625
Pm 0.877 0.877 0.877
Ga 0.500 0.500 0.500
Hg 0.250 0.250 0.250
Hg 0.750 0.750 0.750

Summary:
The formation energy is -0.33 eV/atom. The value obtained for the density is 8.45 g/cm³. The raw total energy is -24.95 eV for the cell shown.

***

# 9
A relaxed Pr4ErPb4 crystal, computed with PBE-GGA.

Lattice parameters (Å, degrees): 9.633 9.633 6.617 90.00 90.00 90.00
Element x y z (fractional)
Pr 0.027 0.672 0.115
Pr 0.172 0.973 0.615
Pr 0.328 0.527 0.615
Pr 0.473 0.828 0.115
Pr 0.527 0.172 0.885
Pr 0.672 0.473 0.385
Pr 0.828 0.027 0.385
Pr 0.973 0.328 0.885
Er 0.250 0.250 0.250
Er 0.750 0.750 0.750
Pb 0.024 0.654 0.606
Pb 0.154 0.976 0.106
Pb 0.346 0.524 0.106
Pb 0.476 0.846 0.606
Pb 0.524 0.154 0.394
Pb 0.654 0.476 0.894
Pb 0.846 0.024 0.894
Pb 0.976 0.346 0.394

Summary:
The formation energy is -0.33 eV/atom. The value obtained for the density is 8.44 g/cm³. The raw total energy is -83.03 eV for the cell shown.

***

# 10
A relaxed BaTl2Ag crystal, computed with PBE-GGA.

Lattice parameters (Å, degrees): 7.134 7.134 4.232 107.24 107.24 123.80
Element x y z (fractional)
Ba 0.000 0.000 0.000
Tl 0.000 0.500 0.000
Tl 0.500 0.000 0.000
Ag 0.500 0.500 0.000

Summary:
The formation energy is -0.03 eV/atom. As for the energy above the most stable polymorph in this dataset: 0.2320 eV per atom. The value obtained for the density is 7.81 g/cm³. The raw total energy is -9.61 eV for the cell shown.

***

# 11
A relaxed La14SmCd crystal, computed with PBE-GGA.

Lattice parameters (Å, degrees): 10.473 7.336 7.336 90.01 90.00 90.00
Element x y z (fractional)
La 0.000 0.000 0.000
La 0.000 0.000 0.498
La 0.000 0.498 0.000
La 0.000 0.499 0.499
La 0.253 0.745 0.745
La 0.255 0.254 0.744
La 0.255 0.744 0.254
La 0.257 0.254 0.254
La 0.500 0.501 0.996
La 0.500 0.996 0.501
La 0.743 0.254 0.254
La 0.745 0.254 0.744
La 0.745 0.744 0.254
La 0.747 0.745 0.745
Sm 0.500 0.999 0.999
Cd 0.500 0.499 0.499

Summary:
The formation energy is -0.03 eV/atom. The value obtained for the density is 6.50 g/cm³. The raw total energy is -75.14 eV for the cell shown.

***

# 12
A relaxed HfNb2CrTc crystal, computed with PBE-GGA.

Lattice parameters (Å, degrees): 4.752 4.752 4.908 90.00 90.00 90.00
Element x y z (fractional)
Hf 0.000 0.000 0.000
Nb 0.000 0.500 0.500
Nb 0.500 0.000 0.500
Cr 0.500 0.500 0.000
Tc 0.000 0.000 0.500

Summary:
The formation energy is 1.39 eV/atom. The value obtained for the density is 7.70 g/cm³. The raw total energy is -43.11 eV for the cell shown.

***

# 13
A relaxed Tb2PmNd2Dy crystal, computed with PBE-GGA.

Lattice parameters (Å, degrees): 7.032 5.716 9.909 90.00 90.00 90.00
Element x y z (fractional)
Tb 0.250 0.000 0.165
Tb 0.250 0.500 0.668
Tb 0.750 0.000 0.835
Tb 0.750 0.500 0.332
Pm 0.000 0.000 0.500
Pm 0.500 0.000 0.500
Nd 0.000 0.500 0.000
Nd 0.250 0.000 0.830
Nd 0.500 0.500 0.000
Nd 0.750 0.000 0.170
Dy 0.250 0.500 0.336
Dy 0.750 0.500 0.664

Summary:
The formation energy is 0.06 eV/atom. The value obtained for the density is 7.62 g/cm³. The raw total energy is -55.55 eV for the cell shown.

***

# 14
A relaxed Rb2ErTe2O6 crystal, computed with PBE-GGA.

Lattice parameters (Å, degrees): 5.907 5.907 7.295 106.45 106.45 66.98
Element x y z (fractional)
Rb 0.196 0.196 0.127
Rb 0.804 0.804 0.873
Er 0.000 0.000 0.500
Te 0.419 0.419 0.737
Te 0.581 0.581 0.263
O 0.217 0.731 0.267
O 0.236 0.236 0.531
O 0.269 0.783 0.733
O 0.731 0.217 0.267
O 0.764 0.764 0.469
O 0.783 0.269 0.733

Summary:
The value obtained for the density is 5.20 g/cm³. The calculation puts the formation energy (no corrections) at -1656 meV per atom. The raw total energy is -60.75 eV for the cell shown.

***

# 15
A relaxed Nd14DyCd crystal, computed with PBE-GGA.

Lattice parameters (Å, degrees): 10.335 7.247 7.247 90.02 90.00 90.00
Element x y z (fractional)
Nd 0.000 0.000 0.000
Nd 0.000 0.000 0.500
Nd 0.000 0.500 0.000
Nd 0.000 0.500 0.500
Nd 0.254 0.251 0.251
Nd 0.255 0.251 0.749
Nd 0.255 0.748 0.748
Nd 0.255 0.749 0.251
Nd 0.500 0.000 0.500
Nd 0.500 0.500 0.000
Nd 0.745 0.251 0.749
Nd 0.745 0.748 0.748
Nd 0.745 0.749 0.251
Nd 0.746 0.251 0.251
Dy 0.500 0.000 0.000
Cd 0.500 0.499 0.499

Summary:
The formation energy is -0.01 eV/atom. The value obtained for the density is 7.02 g/cm³. The raw total energy is -72.50 eV for the cell shown.

***

# 16
A relaxed Al2BOs2 crystal, computed with PBE-GGA.

Lattice parameters (Å, degrees): 6.884 6.884 6.884 150.00 150.00 42.94
Element x y z (fractional)
Al 0.098 0.098 0.000
Al 0.902 0.902 0.000
B 0.500 0.500 0.000
Os 0.250 0.750 0.500
Os 0.750 0.250 0.500

Summary:
The formation energy is 1.00 eV/atom. As for the energy above the most stable polymorph in this dataset: 1.2288 eV per atom. The value obtained for the density is 9.09 g/cm³. The raw total energy is -31.61 eV for the cell shown.

***

# 17
A relaxed PrMgAs2 crystal, computed with PBE-GGA.

Lattice parameters (Å, degrees): 6.739 6.739 6.739 37.01 37.01 37.01
Element x y z (fractional)
Pr 0.000 0.000 0.000
Mg 0.500 0.500 0.500
As 0.242 0.242 0.242
As 0.758 0.758 0.758

Summary:
The formation energy is -0.81 eV/atom. The value obtained for the density is 5.27 g/cm³. The raw total energy is -18.93 eV for the cell shown.

***

# 18
A relaxed CeSmMgHg crystal, computed with PBE-GGA.

Lattice parameters (Å, degrees): 5.413 5.413 5.413 60.00 60.00 60.00
Element x y z (fractional)
Ce 0.000 0.000 0.000
Sm 0.500 0.500 0.500
Mg 0.250 0.250 0.250
Hg 0.750 0.750 0.750

Summary:
The formation energy is -0.16 eV/atom. The value obtained for the density is 7.63 g/cm³. The raw total energy is -13.19 eV for the cell shown.

***

# 19
A relaxed Mg3SnBi crystal, computed with PBE-GGA.

Lattice parameters (Å, degrees): 5.339 5.339 5.339 90.00 90.00 90.00
Element x y z (fractional)
Mg 0.000 0.000 0.500
Mg 0.000 0.500 0.000
Mg 0.500 0.000 0.000
Sn 0.000 0.000 0.000
Bi 0.500 0.500 0.500

Summary:
The formation energy is 0.20 eV/atom. As for the energy above the most stable polymorph in this dataset: 0.3274 eV per atom. The value obtained for the density is 4.37 g/cm³. The raw total energy is -11.65 eV for the cell shown.

***

# 20
A relaxed HfCdAg2 crystal, computed with PBE-GGA.

Lattice parameters (Å, degrees): 6.740 3.020 7.684 90.00 90.00 90.00
Element x y z (fractional)
Hf 0.250 0.000 0.016
Hf 0.750 0.000 0.984
Cd 0.250 0.000 0.480
Cd 0.750 0.000 0.520
Ag 0.022 0.500 0.748
Ag 0.478 0.500 0.748
Ag 0.522 0.500 0.252
Ag 0.978 0.500 0.252

Summary:
The formation energy is 0.00 eV/atom. The value obtained for the density is 10.76 g/cm³. The raw total energy is -33.15 eV for the cell shown.

***

# 21
A relaxed Ca6N2Cl3O crystal, computed with PBE-GGA.

Lattice parameters (Å, degrees): 6.317 6.317 6.887 98.78 98.78 120.02
Element x y z (fractional)
Ca 0.099 0.437 0.810
Ca 0.225 0.225 0.190
Ca 0.437 0.099 0.810
Ca 0.563 0.901 0.190
Ca 0.775 0.775 0.810
Ca 0.901 0.563 0.190
N 0.167 0.833 0.000
N 0.833 0.167 0.000
Cl 0.000 0.000 0.500
Cl 0.335 0.665 0.500
Cl 0.665 0.335 0.500
O 0.500 0.500 0.000

Summary:
The value obtained for the density is 2.86 g/cm³. The calculation puts the formation energy (no corrections) at -1767 meV per atom. The raw total energy is -60.36 eV for the cell shown.

***

# 22
A relaxed Ti8ReSn2 crystal, computed with PBE-GGA.

Lattice parameters (Å, degrees): 7.808 7.808 7.808 145.27 132.61 60.07
Element x y z (fractional)
Ti 0.125 0.363 0.762
Ti 0.170 0.170 0.000
Ti 0.252 0.000 0.252
Ti 0.399 0.637 0.762
Ti 0.601 0.363 0.238
Ti 0.748 0.000 0.748
Ti 0.830 0.830 0.000
Ti 0.875 0.637 0.238
Re 0.000 0.500 0.500
Sn 0.314 0.814 0.500
Sn 0.686 0.186 0.500

Summary:
The formation energy is -0.25 eV/atom. The value obtained for the density is 6.78 g/cm³. The raw total energy is -86.31 eV for the cell shown.

***

# 23
A relaxed YLuGe crystal, computed with PBE-GGA.

Lattice parameters (Å, degrees): 4.831 4.831 4.831 60.00 60.00 60.00
Element x y z (fractional)
Y 0.000 0.000 0.000
Lu 0.500 0.500 0.500
Ge 0.750 0.750 0.750

Summary:
The formation energy is -0.52 eV/atom. As for the energy above the most stable polymorph in this dataset: 0.0000 eV per atom. The value obtained for the density is 7.01 g/cm³. The raw total energy is -17.17 eV for the cell shown.

***

# 24
A relaxed MgOs2Ru crystal, computed with PBE-GGA.

Lattice parameters (Å, degrees): 5.207 5.207 5.207 147.25 129.34 61.64
Element x y z (fractional)
Mg 0.000 0.000 0.000
Os 0.252 0.752 0.500
Os 0.748 0.248 0.500
Ru 0.500 0.500 0.000

Summary:
The formation energy is 0.28 eV/atom. The value obtained for the density is 14.36 g/cm³. The raw total energy is -32.21 eV for the cell shown.